No. 1
# TiCr3Br

A crystal of TiCr3Br relaxed with PBEsol (SCAN, the Alexandria database).

```
TiCr3Br
1.0
-2.3657 0.9293 3.8785
-3.9882 -0.5670 -2.2968
0.0139 -4.5075 1.0886
Cr Ti Br
3 1 1
Direct
0.0000 0.0000 0.5000 Cr
0.0000 0.5000 0.0000 Cr
0.5000 0.0000 0.0000 Cr
0.0000 0.0000 0.0000 Ti
0.5000 0.5000 0.5000 Br
```

Calculated values
ΔE_f (raw)   6.7 eV per formula unit
Calculated total energy   -16.789 eV/atom
Symmetry   Pm-3m, No. 221



No. 2
# ZrHgSCl2

A crystal of ZrHgSCl2 relaxed with PBEsol (SCAN, the Alexandria database).

```
ZrHgSCl2
1.0
-2.2905 4.1573 -1.1592
-3.1477 -0.6496 3.8900
3.1557 2.5703 2.9828
Zr Cl S Hg
1 2 1 1
Direct
0.0000 0.0000 0.0000 Zr
0.0000 0.0000 0.5000 Cl
0.0000 0.5000 0.0000 Cl
0.5000 0.0000 0.0000 S
0.5000 0.5000 0.5000 Hg
```

Calculated values
ΔE_f (raw)   -6.3 eV per formula unit
Calculated total energy   -26.158 eV/atom
Symmetry   P4/mmm, No. 123